# 1
An optimized crystal structure of NaSmZnTe3, computed with GGA-PBE.

V	30.209	A^3/atom
magnetization	0.001	μB/atom
ΔE to the lowest computed polymorph	0.033	eV per atom
calculated total energy	-89.986	eV/cell
symmetry	Pnma

a b c (Å): 12.505 4.425 13.104
angles (deg): 90.00 90.00 90.00
Atoms (fractional coordinates):
Zn  0.253  0.500  0.793
Zn  0.247  0.000  0.293
Zn  0.753  0.500  0.707
Zn  0.747  0.000  0.207
Te  0.899  0.000  0.065
Te  0.787  0.500  0.321
Te  0.213  0.000  0.679
Te  0.048  0.000  0.358
Te  0.548  0.000  0.142
Te  0.601  0.500  0.565
Te  0.952  0.500  0.642
Te  0.399  0.000  0.435
Te  0.101  0.500  0.935
Te  0.452  0.500  0.858
Te  0.713  0.000  0.821
Te  0.287  0.500  0.179
Sm  0.970  0.000  0.814
Sm  0.030  0.500  0.186
Sm  0.530  0.500  0.314
Sm  0.470  0.000  0.686
Na  0.813  0.000  0.511
Na  0.187  0.500  0.489
Na  0.313  0.000  0.989
Na  0.687  0.500  0.011

# 2
An optimized crystal structure of MgZrTcSb, computed with GGA-PBE.

V	18.721	A^3/atom
magnetization	0.004	μB/atom
ΔE to the lowest computed polymorph	0.213	eV per atom
calculated total energy	-24.476	eV/cell
symmetry	F-43m

a b c (Å): 4.731 4.731 4.731
angles (deg): 60.00 60.00 60.00
Atoms (fractional coordinates):
Tc  0.500  0.500  0.500
Mg  0.750  0.750  0.750
Sb  0.250  0.250  0.250
Zr  0.000  0.000  0.000

# 3
An optimized crystal structure of NaGaSbIr, computed with GGA-PBE.

V	18.691	A^3/atom
magnetization	0.002	μB/atom
ΔE to the lowest computed polymorph	0.377	eV per atom
calculated total energy	-16.166	eV/cell
symmetry	F-43m

a b c (Å): 4.729 4.729 4.729
angles (deg): 60.00 60.00 60.00
Atoms (fractional coordinates):
Sb  0.500  0.500  0.500
Na  0.750  0.750  0.750
Ga  0.250  0.250  0.250
Ir  0.000  0.000  0.000

# 4
An optimized crystal structure of SrErSi4Os2, computed with GGA-PBE.

V	18.664	A^3/atom
magnetization	0.001	μB/atom
calculated total energy	-55.033	eV/cell
symmetry	Pm

a b c (Å): 4.522 4.068 8.297
angles (deg): 90.00 101.99 90.00
Atoms (fractional coordinates):
Er  0.593  0.000  0.709
Sr  0.420  0.500  0.304
Os  0.114  0.500  0.881
Os  0.876  0.000  0.110
Si  0.039  0.500  0.592
Si  0.330  0.000  0.004
Si  0.966  0.000  0.410
Si  0.662  0.500  0.988

# 5
An optimized crystal structure of NaPIrO, computed with GGA-PBE.

V	16.234	A^3/atom
magnetization	0.002	μB/atom
ΔE to the lowest computed polymorph	0.000	eV per atom
calculated total energy	-45.801	eV/cell
symmetry	Pmc2_1

a b c (Å): 3.560 6.593 5.533
angles (deg): 90.00 90.00 90.00
Atoms (fractional coordinates):
Na  0.000  0.098  0.442
Na  0.000  0.902  0.942
P  0.000  0.665  0.380
P  0.000  0.335  0.880
O  0.500  0.272  0.347
O  0.500  0.728  0.847
Ir  0.500  0.489  0.084
Ir  0.500  0.511  0.584

# 6
An optimized crystal structure of LiZrFeSb, computed with GGA-PBE.

V	17.388	A^3/atom
magnetization	0.519	μB/atom
ΔE to the lowest computed polymorph	0.468	eV per atom
calculated total energy	-22.694	eV/cell
symmetry	F-43m

a b c (Å): 4.616 4.616 4.616
angles (deg): 60.00 60.00 60.00
Atoms (fractional coordinates):
Fe  0.750  0.750  0.750
Zr  0.250  0.250  0.250
Sb  0.000  0.000  0.000
Li  0.500  0.500  0.500

# 7
An optimized crystal structure of HoHfIn, computed with GGA-PBE.

V	28.402	A^3/atom
magnetization	0.016	μB/atom
ΔE to the lowest computed polymorph	0.000	eV per atom
calculated total energy	-16.507	eV/cell
symmetry	F-43m

a b c (Å): 4.939 4.939 4.939
angles (deg): 60.00 60.00 60.00
Atoms (fractional coordinates):
Hf  0.250  0.250  0.250
In  0.000  0.000  0.000
Ho  0.750  0.750  0.750

# 8
An optimized crystal structure of PrHo2Si4Ni4, computed with GGA-PBE.

V	17.039	A^3/atom
magnetization	0.001	μB/atom
calculated total energy	-66.765	eV/cell
symmetry	Immm

a b c (Å): 11.855 11.855 11.855
angles (deg): 160.44 160.35 27.86
Atoms (fractional coordinates):
Si  0.554  0.554  0.000
Si  0.446  0.446  0.000
Si  0.801  0.301  0.500
Si  0.199  0.699  0.500
Ho  0.350  0.850  0.500
Ho  0.650  0.150  0.500
Ni  0.899  0.399  0.500
Ni  0.751  0.751  0.000
Ni  0.249  0.249  0.000
Ni  0.101  0.601  0.500
Pr  0.000  0.000  0.000

# 9
An optimized crystal structure of TlAg15, computed with GGA-PBE.

V	22.793	A^3/atom
ΔE to the lowest computed polymorph	0.000	eV per atom
calculated total energy	-176.455	eV/cell
symmetry	P-1

a b c (Å): 4.118 8.209 43.147
angles (deg): 90.19 90.22 90.26
Atoms (fractional coordinates):
Ag  0.000  0.624  0.717
Ag  0.500  0.875  0.331
Ag  0.500  0.124  0.476
Ag  0.000  0.875  0.283
Ag  0.000  0.620  0.816
Ag  0.500  0.124  0.572
Ag  0.000  0.376  0.476
Ag  0.000  0.124  0.428
Ag  0.500  0.376  0.717
Ag  0.000  0.376  0.766
Ag  0.500  0.876  0.428
Ag  0.500  0.876  0.621
Ag  0.500  0.126  0.766
Ag  0.000  0.380  0.184
Ag  0.000  0.876  0.572
Ag  0.000  0.876  0.476
Ag  0.000  0.874  0.766
Ag  0.000  0.125  0.331
Ag  0.000  0.126  0.234
Ag  0.500  0.872  0.814
Ag  0.000  0.125  0.717
Ag  0.000  0.376  0.669
Ag  0.500  0.124  0.379
Ag  0.500  0.624  0.766
Ag  0.000  0.124  0.621
Ag  0.500  0.128  0.186
Ag  0.500  0.883  0.139
Ag  0.000  0.883  0.861
Ag  0.000  0.625  0.428
Ag  0.000  0.624  0.331
Ag  0.000  0.875  0.669
Ag  0.500  0.125  0.669
Ag  0.500  0.625  0.379
Ag  0.000  0.376  0.283
Ag  0.500  0.375  0.621
Ag  0.000  0.375  0.572
Ag  0.000  0.624  0.524
Ag  0.000  0.876  0.379
Ag  0.500  0.876  0.524
Ag  0.500  0.624  0.476
Ag  0.000  0.128  0.814
Ag  0.000  0.375  0.379
Ag  0.500  0.625  0.572
Ag  0.500  0.620  0.184
Ag  0.000  0.117  0.139
Ag  0.000  0.624  0.234
Ag  0.500  0.624  0.283
Ag  0.500  0.624  0.669
Ag  0.000  0.124  0.524
Ag  0.500  0.375  0.428
Ag  0.500  0.380  0.816
Ag  0.500  0.874  0.234
Ag  0.500  0.376  0.234
Ag  0.500  0.376  0.331
Ag  0.500  0.376  0.524
Ag  0.500  0.117  0.861
Ag  0.000  0.625  0.621
Ag  0.000  0.872  0.186
Ag  0.500  0.875  0.717
Ag  0.500  0.125  0.283
Tl  0.000  0.352  0.878
Tl  0.500  0.648  0.878
Tl  0.500  0.352  0.122
Tl  0.000  0.648  0.122

# 10
An optimized crystal structure of LuInNO, computed with GGA-PBE.

V	15.294	A^3/atom
magnetization	0.000	μB/atom
ΔE to the lowest computed polymorph	0.384	eV per atom
calculated total energy	-50.191	eV/cell
symmetry	P4/nmm

a b c (Å): 3.995 3.995 7.664
angles (deg): 90.00 90.00 90.00
Atoms (fractional coordinates):
O  0.500  0.500  0.000
O  0.000  0.000  0.000
N  0.000  0.500  0.664
N  0.500  0.000  0.336
In  0.500  0.500  0.500
In  0.000  0.000  0.500
Lu  0.500  0.000  0.881
Lu  0.000  0.500  0.119

# 11
An optimized crystal structure of PaN, computed with GGA-PBE.

V	15.081	A^3/atom
magnetization	0.000	μB/atom
ΔE to the lowest computed polymorph	0.000	eV per atom
calculated total energy	-21.100	eV/cell
symmetry	Fm-3m

a b c (Å): 3.494 3.494 3.494
angles (deg): 60.00 60.00 60.00
Atoms (fractional coordinates):
N  0.000  0.000  0.000
Pa  0.500  0.500  0.500

# 12
An optimized crystal structure of NdTlZnSe3, computed with GGA-PBE.

V	29.311	A^3/atom
magnetization	0.000	μB/atom
ΔE to the lowest computed polymorph	0.000	eV per atom
calculated total energy	-102.399	eV/cell
symmetry	Pnma

a b c (Å): 11.318 4.217 14.740
angles (deg): 90.00 90.00 90.00
Atoms (fractional coordinates):
Tl  0.719  0.750  0.496
Tl  0.781  0.250  0.996
Tl  0.281  0.250  0.504
Tl  0.219  0.750  0.004
Zn  0.762  0.750  0.782
Zn  0.262  0.750  0.718
Zn  0.738  0.250  0.282
Zn  0.238  0.250  0.218
Se  0.741  0.750  0.181
Se  0.091  0.750  0.614
Se  0.447  0.750  0.627
Se  0.759  0.250  0.681
Se  0.553  0.250  0.373
Se  0.053  0.250  0.127
Se  0.409  0.250  0.114
Se  0.591  0.750  0.886
Se  0.241  0.750  0.319
Se  0.259  0.250  0.819
Se  0.947  0.750  0.873
Se  0.909  0.250  0.386
Nd  0.513  0.250  0.759
Nd  0.987  0.750  0.259
Nd  0.013  0.250  0.741
Nd  0.487  0.750  0.241